# La2ZrTc | Alexandria | PBE | relaxed
data_La2ZrTc
_symmetry_space_group_name_H-M 'I -4 m 2'
_symmetry_Int_Tables_number 119
_symmetry_space_group_name_Hall 'I -4 -2'
_cell_length_a 5.5457
_cell_length_b 5.5457
_cell_length_c 6.2053
_cell_angle_alpha 90.00
_cell_angle_beta 90.00
_cell_angle_gamma 90.00
loop_
_atom_site_label
_atom_site_fract_x
_atom_site_fract_y
_atom_site_fract_z
La1 0.0000 0.0000 0.0000
La2 0.0000 0.5000 0.2500
Zr1 0.0000 0.0000 0.5000
Tc1 0.0000 0.5000 0.7500
# formation energy from the elements = 6.3 kcal/mol of atoms
# distance to the lowest polymorph of the same formula = 102 kJ/mol of formula units
# DOS(E_F) = 1.184 states/eV/atom